Run one
This record from Alexandria describes an optimized crystal structure of CsLa3Ga. The functional is PBE.

a b c (Å): 5.903 5.903 5.903
angles (deg): 90.00 90.00 90.00
Fractional coordinates of all 5 atoms:
Cs  0.000  0.000  0.000
Ga  0.500  0.500  0.500
La  0.000  0.500  0.000
La  0.000  0.000  0.500
La  0.500  0.000  0.000



Run two
This record from Alexandria describes an optimized crystal structure of CsLa3Ga. The functional is PBE.

a b c (Å): 6.134 6.134 6.134
angles (deg): 90.00 90.00 90.00
Fractional coordinates of all 5 atoms:
Cs  0.500  0.500  0.500
Ga  0.000  0.000  0.000
La  0.000  0.500  0.000
La  0.000  0.000  0.500
La  0.500  0.000  0.000



Top of the stability list: run two, leading by 0.796 eV/atom.